A geometry-optimized SrGa3Te structure. Source: Alexandria via LeMat-Bulk, functional PBE.

Calculated values
* density: 4.02 Mg/m³
* energy: -2.560 eV/atom
* formation energy from raw total energies: 0.221 eV per atom
* energy relative to the lowest polymorph listed for this composition: 0 kJ/mol of formula units

a b c (Å): 5.598 5.598 5.598
angles (deg): 90.00 90.00 90.00
Sites, in units of the cell vectors:
Te: 0.000 0.000 0.000
Ga: 0.000 0.000 0.500
Ga: 0.000 0.500 0.000
Ga: 0.500 0.000 0.000
Sr: 0.500 0.500 0.500